## Ba2MoRhO6 (GGA+U)

Data for a geometry-optimized Ba2MoRhO6 structure.

## Properties
- VASP energy (eV/atom) = -6.767
- density (Mg/m³) = 6.5

abc: 10.315 10.315 10.315
angles: 32.99 32.99 32.99
Element x y z (fractional)
Ba  0.125  0.125  0.125
Ba  0.285  0.285  0.285
Ba  0.715  0.715  0.715
Ba  0.875  0.875  0.875
Mo  0.000  0.000  0.000
Mo  0.500  0.500  0.500
Rh  0.410  0.410  0.410
Rh  0.590  0.590  0.590
O  0.140  0.611  0.611
O  0.196  0.196  0.722
O  0.196  0.722  0.196
O  0.278  0.804  0.804
O  0.389  0.389  0.860
O  0.389  0.860  0.389
O  0.611  0.140  0.611
O  0.611  0.611  0.140
O  0.722  0.196  0.196
O  0.804  0.278  0.804
O  0.804  0.804  0.278
O  0.860  0.389  0.389